Entry from the Open Quantum Materials Database: an optimized crystal structure of NbCo (PBE).

Symmetry = No. 187
Energy relative to the elements = 47 kJ/mol of formula units
Spin magnetization = 0.00 μB/f.u.

POSCAR file:
```
NbCo
1.0
2.7895 0.0000 0.0000
-1.3947 2.4157 0.0000
0.0000 0.0000 4.2603
Nb Co
1 1
direct
0.0000 0.0000 0.0000 Nb
0.3333 0.6667 0.5000 Co
```

***

Entry from the Open Quantum Materials Database: an optimized crystal structure of Li2YScAl2Ag2 (PBE).

Total DFT energy (no corrections) = -32.41 eV/cell
Symmetry = No. 115
Spin magnetization = 0.00 μB/f.u.

POSCAR file:
```
Li2YScAl2Ag2
1.0
4.6688 0.0000 0.0000
0.0000 4.6688 0.0000
0.0000 0.0000 6.6211
Li Y Sc Al Ag
2 1 1 2 2
direct
0.0000 0.5000 0.2379 Li
0.5000 0.0000 0.7621 Li
0.0000 0.0000 0.5000 Y
0.5000 0.5000 0.0000 Sc
0.0000 0.0000 0.0000 Al
0.5000 0.5000 0.5000 Al
0.0000 0.5000 0.7629 Ag
0.5000 0.0000 0.2371 Ag
```

***

Entry from the Open Quantum Materials Database: an optimized crystal structure of CsZrTc (PBE).

E above lowest polymorph = 0.0 meV/atom
Symmetry = No. 216
Spin magnetization = 0.00 μB/f.u.

POSCAR file:
```
CsZrTc
1.0
0.0000 3.4024 3.4024
3.4024 0.0000 3.4024
3.4024 3.4024 0.0000
Cs Zr Tc
1 1 1
direct
0.0000 0.0000 0.0000 Cs
0.5000 0.5000 0.5000 Zr
0.2500 0.2500 0.2500 Tc
```

***

Entry from the Open Quantum Materials Database: an optimized crystal structure of SrSm2 (PBE).

E above lowest polymorph = 709.3 meV/atom
Symmetry = No. 225
Spin magnetization = 0.00 μB/f.u.

POSCAR file:
```
SrSm2
1.0
0.0000 4.0680 4.0680
4.0680 0.0000 4.0680
4.0680 4.0680 0.0000
Sr Sm
1 2
direct
0.0000 0.0000 0.0000 Sr
0.2500 0.2500 0.2500 Sm
0.7500 0.7500 0.7500 Sm
```

***

Entry from the Open Quantum Materials Database: an optimized crystal structure of PuGaMo (PBE).

E above lowest polymorph = 0.0 meV/atom
Symmetry = No. 216
Spin magnetization = 4.08 μB/f.u.

POSCAR file:
```
PuGaMo
1.0
0.0000 3.1383 3.1383
3.1383 0.0000 3.1383
3.1383 3.1383 0.0000
Pu Ga Mo
1 1 1
direct
0.0000 0.0000 0.0000 Pu
0.5000 0.5000 0.5000 Ga
0.7500 0.7500 0.7500 Mo
```

***

Entry from the Open Quantum Materials Database: an optimized crystal structure of KBaErTe3 (PBE).

E above lowest polymorph = 69.0 meV/atom
Symmetry = No. 63
Spin magnetization = 0.00 μB/f.u.

POSCAR file:
```
KBaErTe3
1.0
2.4159 -7.7669 0.0000
2.4159 7.7669 0.0000
0.0000 0.0000 11.9247
K Ba Er Te
2 2 2 6
direct
0.0316 0.9684 0.7500 K
0.9684 0.0316 0.2500 K
0.2481 0.7519 0.2500 Ba
0.7519 0.2481 0.7500 Ba
0.5000 0.5000 0.0000 Er
0.5000 0.5000 0.5000 Er
0.1363 0.8637 0.5266 Te
0.1363 0.8637 0.9734 Te
0.4092 0.5908 0.7500 Te
0.5908 0.4092 0.2500 Te
0.8637 0.1363 0.0266 Te
0.8637 0.1363 0.4734 Te
```

***

Entry from the Open Quantum Materials Database: an optimized crystal structure of Ba2YOsS6 (PBE).

E above lowest polymorph = 14.3 meV/atom
Symmetry = No. 87
Spin magnetization = 0.73 μB/f.u.

POSCAR file:
```
Ba2YOsS6
1.0
-3.5158 3.5158 4.9745
3.5158 -3.5158 4.9745
3.5158 3.5158 -4.9745
Ba Y Os S
2 1 1 6
direct
0.2500 0.7500 0.5000 Ba
0.7500 0.2500 0.5000 Ba
0.0000 0.0000 0.0000 Y
0.5000 0.5000 0.0000 Os
0.2562 0.2712 0.5273 S
0.2637 0.2637 0.0000 S
0.2712 0.7438 0.0150 S
0.7288 0.2562 0.9850 S
0.7363 0.7363 0.0000 S
0.7438 0.7288 0.4727 S
```

***

Entry from the Open Quantum Materials Database: an optimized crystal structure of NdZnInSe3 (PBE).

E above lowest polymorph = 15.2 meV/atom
Symmetry = No. 62
Spin magnetization = 0.00 μB/f.u.

POSCAR file:
```
NdZnInSe3
1.0
14.8234 0.0000 0.0000
0.0000 4.1928 0.0000
0.0000 0.0000 11.4162
Nd Zn In Se
4 4 4 12
direct
0.0254 0.2500 0.1600 Nd
0.4746 0.7500 0.6600 Nd
0.5254 0.2500 0.3400 Nd
0.9746 0.7500 0.8400 Nd
0.0182 0.7500 0.4028 Zn
0.4818 0.2500 0.9028 Zn
0.5182 0.7500 0.0972 Zn
0.9818 0.2500 0.5972 Zn
0.2420 0.2500 0.4618 In
0.2580 0.7500 0.9618 In
0.7420 0.2500 0.0382 In
0.7580 0.7500 0.5382 In
0.0806 0.7500 0.6101 Se
0.1022 0.2500 0.9228 Se
0.1433 0.7500 0.2587 Se
0.3567 0.2500 0.7587 Se
0.3978 0.7500 0.4228 Se
0.4194 0.2500 0.1101 Se
0.5806 0.7500 0.8899 Se
0.6022 0.2500 0.5772 Se
0.6433 0.7500 0.2413 Se
0.8567 0.2500 0.7413 Se
0.8978 0.7500 0.0772 Se
0.9194 0.2500 0.3899 Se
```

***

Entry from the Open Quantum Materials Database: an optimized crystal structure of PrPuBi (PBE).

Total DFT energy (no corrections) = -22.61 eV/cell
Symmetry = No. 216
Spin magnetization = 7.51 μB/f.u.

POSCAR file:
```
PrPuBi
1.0
0.0000 3.7910 3.7910
3.7910 0.0000 3.7910
3.7910 3.7910 0.0000
Pr Pu Bi
1 1 1
direct
0.0000 0.0000 0.0000 Pr
0.2500 0.2500 0.2500 Pu
0.7500 0.7500 0.7500 Bi
```

***

Entry from the Open Quantum Materials Database: an optimized crystal structure of Sc2Hg (PBE).

Symmetry = No. 227
Energy relative to the elements = 54 kJ/mol of formula units
Spin magnetization = 0.00 μB/f.u.

POSCAR file:
```
Sc2Hg
1.0
0.0000 4.0756 4.0756
4.0756 0.0000 4.0756
4.0756 4.0756 0.0000
Sc Hg
4 2
direct
0.0000 0.0000 0.0000 Sc
0.0000 0.0000 0.5000 Sc
0.0000 0.5000 0.0000 Sc
0.5000 0.0000 0.0000 Sc
0.3750 0.3750 0.3750 Hg
0.6250 0.6250 0.6250 Hg
```

***

Entry from the Open Quantum Materials Database: an optimized crystal structure of Sc2CoCuC (PBE).

Total DFT energy (no corrections) = -34.62 eV/cell
Symmetry = No. 123
Spin magnetization = 0.00 μB/f.u.

POSCAR file:
```
Sc2CoCuC
1.0
4.5420 0.0000 0.0000
0.0000 4.5420 0.0000
0.0000 0.0000 3.5743
Sc Co Cu C
2 1 1 1
direct
0.0000 0.5000 0.0000 Sc
0.5000 0.0000 0.0000 Sc
0.0000 0.0000 0.5000 Co
0.5000 0.5000 0.5000 Cu
0.0000 0.0000 0.0000 C
```

***

Entry from the Open Quantum Materials Database: an optimized crystal structure of CdAg2Au (PBE).

Symmetry = No. 123
Energy relative to the elements = -45 kJ/mol of formula units

POSCAR file:
```
CdAg2Au
1.0
4.1815 0.0000 0.0000
0.0000 4.1815 0.0000
0.0000 0.0000 4.2382
Cd Ag Au
1 2 1
direct
0.0000 0.0000 0.0000 Cd
0.0000 0.5000 0.5000 Ag
0.5000 0.0000 0.5000 Ag
0.5000 0.5000 0.0000 Au
```

***

Entry from the Open Quantum Materials Database: an optimized crystal structure of Gd3PdPt2Pb3 (PBE).

Total DFT energy (no corrections) = -49.81 eV/cell
Symmetry = No. 189
Spin magnetization = 0.00 μB/f.u.

POSCAR file:
```
Gd3PdPt2Pb3
1.0
7.8611 0.0000 0.0000
-3.9305 6.8079 0.0000
0.0000 0.0000 3.9343
Gd Pd Pt Pb
3 1 2 3
direct
0.0000 0.5955 0.0000 Gd
0.4045 0.4045 0.0000 Gd
0.5955 0.0000 0.0000 Gd
0.0000 0.0000 0.0000 Pd
0.3333 0.6667 0.5000 Pt
0.6667 0.3333 0.5000 Pt
0.0000 0.2624 0.5000 Pb
0.2624 0.0000 0.5000 Pb
0.7376 0.7376 0.5000 Pb
```

***

Entry from the Open Quantum Materials Database: an optimized crystal structure of PrSm2Co2B2N3 (PBE).

Total DFT energy (no corrections) = -77.36 eV/cell
Symmetry = No. 139
Spin magnetization = 0.02 μB/f.u.

POSCAR file:
```
PrSm2Co2B2N3
1.0
-1.7991 1.7991 10.0278
1.7991 -1.7991 10.0278
1.7991 1.7991 -10.0278
Pr Sm Co B N
1 2 2 2 3
direct
0.0000 0.0000 0.0000 Pr
0.3714 0.3714 0.0000 Sm
0.6286 0.6286 0.0000 Sm
0.2500 0.7500 0.5000 Co
0.7500 0.2500 0.5000 Co
0.1979 0.1979 0.0000 B
0.8021 0.8021 0.0000 B
0.1237 0.1237 0.0000 N
0.5000 0.5000 0.0000 N
0.8763 0.8763 0.0000 N
```

***

Entry from the Open Quantum Materials Database: an optimized crystal structure of Ac2Zn5Pd4 (PBE).

Symmetry = No. 69
Energy relative to the elements = -653 kJ/mol of formula units
Spin magnetization = 0.01 μB/f.u.

POSCAR file:
```
Ac2Zn5Pd4
1.0
0.0000 4.9506 8.2206
2.7398 0.0000 8.2206
2.7398 4.9506 0.0000
Ac Zn Pd
2 5 4
direct
0.1447 0.1447 0.8553 Ac
0.8553 0.8553 0.1447 Ac
0.0000 0.0000 0.5000 Zn
0.2500 0.2500 0.2500 Zn
0.5000 0.5000 0.0000 Zn
0.5000 0.5000 0.5000 Zn
0.7500 0.7500 0.7500 Zn
0.2147 0.5310 0.4690 Pd
0.4690 0.7853 0.2147 Pd
0.5310 0.2147 0.7853 Pd
0.7853 0.4690 0.5310 Pd
```

***

Entry from the Open Quantum Materials Database: an optimized crystal structure of TaBeBOs (PBE).

E above lowest polymorph = 0.0 meV/atom
Symmetry = No. 216
Spin magnetization = 0.00 μB/f.u.

POSCAR file:
```
TaBeBOs
1.0
0.0000 2.8334 2.8334
2.8334 0.0000 2.8334
2.8334 2.8334 0.0000
Ta Be B Os
1 1 1 1
direct
0.0000 0.0000 0.0000 Ta
0.7500 0.7500 0.7500 Be
0.2500 0.2500 0.2500 B
0.5000 0.5000 0.5000 Os
```

***

Entry from the Open Quantum Materials Database: an optimized crystal structure of SmAsN2O (PBE).

Total DFT energy (no corrections) = -69.35 eV/cell
Symmetry = No. 46
Spin magnetization = 0.00 μB/f.u.

POSCAR file:
```
SmAsN2O
1.0
-3.9257 2.7202 2.6671
3.9257 -2.7202 2.6671
3.9257 2.7202 -2.6671
Sm As N O
2 2 4 2
direct
0.0111 0.2500 0.2611 Sm
0.9889 0.7500 0.7389 Sm
0.5009 0.0009 0.5000 As
0.5009 0.5009 0.0000 As
0.0015 0.2057 0.7066 N
0.0015 0.7950 0.2959 N
0.4991 0.2950 0.2934 N
0.4991 0.7057 0.7041 N
0.4265 0.7537 0.1729 O
0.5808 0.2537 0.8271 O
```

***

Entry from the Open Quantum Materials Database: an optimized crystal structure of CdCu2SiTe2Se2 (PBE).

Total DFT energy (no corrections) = -29.15 eV/cell
Symmetry = No. 42

POSCAR file:
```
CdCu2SiTe2Se2
1.0
0.0000 4.2377 5.7436
4.1918 0.0000 5.7436
4.1918 4.2377 0.0000
Cd Cu Si Te Se
1 2 1 2 2
direct
0.0000 0.0000 0.0000 Cd
0.2715 0.2715 0.2285 Cu
0.7715 0.7715 0.7285 Cu
0.5010 0.5010 0.4990 Si
0.4124 0.8730 0.1270 Te
0.8730 0.4124 0.5876 Te
0.1539 0.5981 0.8461 Se
0.5981 0.1539 0.4019 Se
```

***

Entry from the Open Quantum Materials Database: an optimized crystal structure of DyYSi2Os (PBE).

E above lowest polymorph = 7.2 meV/atom
Symmetry = No. 12
Spin magnetization = 0.11 μB/f.u.

POSCAR file:
```
DyYSi2Os
1.0
5.3472 -2.1120 0.0000
5.3472 2.1120 0.0000
-4.8483 0.0000 8.7605
Dy Y Si Os
2 2 4 2
direct
0.1853 0.1853 0.1105 Dy
0.8147 0.8147 0.8895 Dy
0.0084 0.0084 0.6788 Y
0.9916 0.9916 0.3212 Y
0.3548 0.3548 0.4392 Si
0.4976 0.4976 0.1249 Si
0.5024 0.5024 0.8751 Si
0.6452 0.6452 0.5608 Si
0.2705 0.2705 0.6271 Os
0.7295 0.7295 0.3729 Os
```

***

Entry from the Open Quantum Materials Database: an optimized crystal structure of KBeAu (PBE).

E above lowest polymorph = 0.0 meV/atom
Symmetry = No. 216

POSCAR file:
```
KBeAu
1.0
0.0000 3.3285 3.3285
3.3285 0.0000 3.3285
3.3285 3.3285 0.0000
K Be Au
1 1 1
direct
0.0000 0.0000 0.0000 K
0.7500 0.7500 0.7500 Be
0.5000 0.5000 0.5000 Au
```